Entry from the Alexandria database: crystalline HfNb2Al2 at its relaxed geometry (PBEsol).

Unit cell a=7.147 b=7.147 c=3.425 alpha=90.00 beta=90.00 gamma=90.00
Space group P4/mbm (No. 127)
One atom of each set of equivalent atoms:
Hf: 0.000 0.000 0.000 x2
Nb: 0.174 0.326 0.500 x4
Al: 0.124 0.624 0.000 x4

Computed properties:
Energy of formation from the pure elements in eV/atom: -0.32
Total DFT energy (no corrections) in eV per cell: -83.85
Magnetization in μB per formula unit: 0.00

Entry from the Alexandria database: crystalline CuSbSe2 at its relaxed geometry (PBEsol).

Unit cell a=11.411 b=3.884 c=4.557 alpha=90.00 beta=92.16 gamma=90.00
Space group Cm (No. 8)
One atom of each set of equivalent atoms:
Cu: 0.000 0.000 0.000 x2
Sb: 0.354 0.000 0.677 x2
Se: 0.078 0.500 0.780 x2
Se: 0.327 0.500 0.259 x2

Computed properties:
Total DFT energy (no corrections) in eV per cell: -33.87
Magnetization in μB per formula unit: 0.00
ΔE_f (raw) in eV per atom: -0.0853

Entry from the Alexandria database: crystalline Al3Cr at its relaxed geometry (PBEsol).

Unit cell a=3.740 b=3.740 c=7.994 alpha=90.00 beta=90.00 gamma=90.00
Space group I4/mmm (No. 139)
One atom of each set of equivalent atoms:
Al: 0.000 0.000 0.000 x2
Al: 0.000 0.500 0.250 x4
Cr: 0.000 0.000 0.500 x2

Computed properties:
Energy of formation from the pure elements in eV/atom: -0.12
Total DFT energy (no corrections) in eV per cell: -45.96
Magnetization in μB per formula unit: 1.00

Entry from the Alexandria database: crystalline TmMgGa at its relaxed geometry (PBEsol).

Unit cell a=7.1109 b=7.1109 c=4.3491 alpha=90.00 beta=90.00 gamma=120.00
Space group P-62m (No. 189)
One atom of each set of equivalent atoms:
Tm: 0.0000 0.4278 0.0000 x3
Mg: 0.0000 0.7559 0.5000 x3
Ga: 0.0000 0.0000 0.0000 x1
Ga: 0.3333 0.6667 0.5000 x2

Computed properties:
Energy of formation from the pure elements in eV/atom: -0.50
Total DFT energy (no corrections) in eV per cell: -34.32
Magnetization in μB per formula unit: 0.00

Entry from the Alexandria database: crystalline Tc2TeCl at its relaxed geometry (PBEsol).

Unit cell a=2.991 b=4.206 c=5.408 alpha=90.00 beta=90.00 gamma=90.00
Space group Pmmm (No. 47)
One atom of each set of equivalent atoms:
Tc: 0.000 0.000 0.000 x1
Tc: 0.500 0.000 0.500 x1
Te: 0.000 0.500 0.500 x1
Cl: 0.500 0.500 0.000 x1

Computed properties:
Offset from the most stable computed form in eV per atom: 0.028
Total DFT energy (no corrections) in eV per cell: -24.72
Magnetization in μB per formula unit: 0.83
ΔE_f (raw) in eV per atom: 0.8370

Entry from the Alexandria database: crystalline CsCrSbTe2 at its relaxed geometry (PBEsol).

Unit cell a=6.086 b=6.086 c=6.097 alpha=90.00 beta=90.00 gamma=90.00
Space group P4/mmm (No. 123)
One atom of each set of equivalent atoms:
Cs: 0.000 0.000 0.000 x1
Cr: 0.500 0.500 0.500 x1
Sb: 0.000 0.000 0.500 x1
Te: 0.000 0.500 0.000 x2

Computed properties:
Total DFT energy (no corrections) in eV per cell: -14.45
Magnetization in μB per formula unit: 3.89
ΔE_f (raw) in eV per atom: 1.6697

Entry from the Alexandria database: crystalline Y2Mo3O12 at its relaxed geometry (PBEsol).

Unit cell a=7.330 b=7.330 c=10.538 alpha=90.00 beta=90.00 gamma=90.00
Space group P-42_1m (No. 113)
One atom of each set of equivalent atoms:
Y: 0.186 0.314 0.238 x4
Mo: 0.000 0.000 0.500 x2
Mo: 0.207 0.293 0.856 x4
O: 0.006 0.775 0.797 x8
O: 0.044 0.190 0.403 x8
O: 0.126 0.626 0.191 x4
O: 0.195 0.305 0.021 x4

Computed properties:
Total DFT energy (no corrections) in eV per cell: -310.42
Magnetization in μB per formula unit: 0.00
ΔE_f (raw) in eV per atom: -2.5453

Entry from the Alexandria database: crystalline SbCSe2 at its relaxed geometry (PBEsol).

Unit cell a=3.2140 b=3.2140 c=25.3555 alpha=90.00 beta=90.00 gamma=120.00
Space group R-3m (No. 166, hexagonal axes)
One atom of each set of equivalent atoms:
Sb: 0.0000 0.0000 0.0000 x3
C: 0.0000 0.0000 0.5000 x3
Se: 0.0000 0.0000 0.1129 x6

Computed properties:
Offset from the most stable computed form in eV per atom: 0.151
Total DFT energy (no corrections) in eV per cell: -53.24
Magnetization in μB per formula unit: 0.00
ΔE_f (raw) in eV per atom: 1.0389

Entry from the Alexandria database: crystalline CuPt2W at its relaxed geometry (PBEsol).

Unit cell a=2.7418 b=2.7418 c=26.6055 alpha=90.00 beta=90.00 gamma=120.00
Space group R3m (No. 160, hexagonal axes)
One atom of each set of equivalent atoms:
Cu: 0.0000 0.0000 0.0000 x3
Pt: 0.0000 0.0000 0.5023 x3
Pt: 0.0000 0.0000 0.7459 x3
W: 0.0000 0.0000 0.2515 x3

Computed properties:
Offset from the most stable computed form in eV per atom: 0.252
Energy of formation from the pure elements in eV/atom: -0.02
Total DFT energy (no corrections) in eV per cell: -96.48
Magnetization in μB per formula unit: 0.00

Entry from the Alexandria database: crystalline InW at its relaxed geometry (PBEsol).

Unit cell a=3.298 b=3.298 c=6.786 alpha=90.00 beta=90.00 gamma=90.00
Space group P4/nmm (No. 129, origin choice 2)
One atom of each set of equivalent atoms:
In: 0.250 0.250 0.150 x2
W: 0.250 0.250 0.598 x2

Computed properties:
Offset from the most stable computed form in eV per atom: 0.000
Energy of formation from the pure elements in eV/atom: 0.43
Total DFT energy (no corrections) in eV per cell: -31.87
Magnetization in μB per formula unit: 0.00

Entry from the Alexandria database: crystalline IrPt4 at its relaxed geometry (PBEsol).

Unit cell a=6.159 b=6.159 c=3.899 alpha=90.00 beta=90.00 gamma=90.00
Space group I4/m (No. 87)
One atom of each set of equivalent atoms:
Ir: 0.000 0.000 0.000 x2
Pt: 0.101 0.298 0.500 x8

Computed properties:
Energy of formation from the pure elements in eV/atom: 0.05
Total DFT energy (no corrections) in eV per cell: -74.89
Magnetization in μB per formula unit: 0.00

Entry from the Alexandria database: crystalline BeRe2Sb at its relaxed geometry (PBEsol).

Unit cell a=3.044 b=3.044 c=7.971 alpha=90.00 beta=90.00 gamma=90.00
Space group P4mm (No. 99)
One atom of each set of equivalent atoms:
Be: 0.000 0.000 0.000 x1
Re: 0.000 0.000 0.291 x1
Re: 0.500 0.500 0.452 x1
Sb: 0.500 0.500 0.791 x1

Computed properties:
Offset from the most stable computed form in eV per atom: 0.362
Total DFT energy (no corrections) in eV per cell: -32.03
Magnetization in μB per formula unit: 0.00
ΔE_f (raw) in eV per atom: 0.7990

Entry from the Alexandria database: crystalline CePd at its relaxed geometry (PBEsol).

Unit cell a=3.737 b=10.861 c=4.422 alpha=90.00 beta=90.00 gamma=90.00
Space group Cmcm (No. 63)
One atom of each set of equivalent atoms:
Ce: 0.000 0.138 0.250 x4
Pd: 0.000 0.410 0.250 x4

Computed properties:
Energy of formation from the pure elements in eV/atom: -0.57
Total DFT energy (no corrections) in eV per cell: -54.75
Magnetization in μB per formula unit: 0.68

Entry from the Alexandria database: crystalline CeGeBi2 at its relaxed geometry (PBEsol).

Unit cell a=4.555 b=4.555 c=19.887 alpha=90.00 beta=90.00 gamma=90.00
Space group I4/mmm (No. 139)
One atom of each set of equivalent atoms:
Ce: 0.000 0.000 0.121 x4
Ge: 0.000 0.000 0.381 x4
Bi: 0.000 0.500 0.000 x4
Bi: 0.000 0.500 0.250 x4

Computed properties:
Energy of formation from the pure elements in eV/atom: -0.41
Total DFT energy (no corrections) in eV per cell: -87.02
Magnetization in μB per formula unit: 0.00

Entry from the Alexandria database: crystalline Ti2MnRh at its relaxed geometry (PBEsol).

Unit cell a=5.994 b=5.994 c=5.994 alpha=90.00 beta=90.00 gamma=90.00
Space group Fm-3m (No. 225)
One atom of each set of equivalent atoms:
Ti: 0.250 0.250 0.250 x8
Mn: 0.000 0.000 0.000 x4
Rh: 0.000 0.000 0.500 x4

Computed properties:
Energy of formation from the pure elements in eV/atom: -0.57
Total DFT energy (no corrections) in eV per cell: -147.29
Magnetization in μB per formula unit: 0.00

Entry from the Alexandria database: crystalline La2Ni at its relaxed geometry (PBEsol).

Unit cell a=6.056 b=6.645 c=4.253 alpha=90.00 beta=90.00 gamma=90.00
Space group Pnnm (No. 58)
One atom of each set of equivalent atoms:
La: 0.118 0.240 0.000 x4
Ni: 0.000 0.000 0.500 x2

Computed properties:
Energy of formation from the pure elements in eV/atom: -0.10
Total DFT energy (no corrections) in eV per cell: -34.31
Magnetization in μB per formula unit: 0.00

Entry from the Alexandria database: crystalline YNbGeRu2 at its relaxed geometry (PBEsol).

Unit cell a=4.614 b=4.614 c=5.322 alpha=90.00 beta=90.00 gamma=90.00
Space group P4/mmm (No. 123)
One atom of each set of equivalent atoms:
Y: 0.000 0.000 0.000 x1
Nb: 0.000 0.000 0.500 x1
Ge: 0.500 0.500 0.000 x1
Ru: 0.000 0.500 0.500 x2

Computed properties:
Energy of formation from the pure elements in eV/atom: 1.18
Total DFT energy (no corrections) in eV per cell: -37.04
Magnetization in μB per formula unit: 0.50

Entry from the Alexandria database: crystalline HgAsPd2O at its relaxed geometry (PBEsol).

Unit cell a=4.033 b=4.033 c=5.081 alpha=90.00 beta=90.00 gamma=90.00
Space group P4/mmm (No. 123)
One atom of each set of equivalent atoms:
Hg: 0.000 0.000 0.000 x1
As: 0.500 0.500 0.000 x1
Pd: 0.000 0.500 0.500 x2
O: 0.000 0.000 0.500 x1

Computed properties:
Total DFT energy (no corrections) in eV per cell: -22.03
Magnetization in μB per formula unit: 0.00
ΔE_f (raw) in eV per atom: 0.1621

Entry from the Alexandria database: crystalline BaZnHg2 at its relaxed geometry (PBEsol).

Unit cell a=3.867 b=3.867 c=7.127 alpha=90.00 beta=90.00 gamma=90.00
Space group P4mm (No. 99)
One atom of each set of equivalent atoms:
Ba: 0.000 0.000 0.000 x1
Zn: 0.500 0.500 0.689 x1
Hg: 0.000 0.000 0.528 x1
Hg: 0.500 0.500 0.296 x1

Computed properties:
Energy of formation from the pure elements in eV/atom: -0.21
Total DFT energy (no corrections) in eV per cell: -5.72
Magnetization in μB per formula unit: 0.00

Entry from the Alexandria database: crystalline BaZr2Co at its relaxed geometry (PBEsol).

Unit cell a=4.119 b=4.119 c=10.202 alpha=90.00 beta=90.00 gamma=90.00
Space group I4/mmm (No. 139)
One atom of each set of equivalent atoms:
Ba: 0.000 0.000 0.000 x2
Zr: 0.000 0.500 0.250 x4
Co: 0.000 0.000 0.500 x2

Computed properties:
Offset from the most stable computed form in eV per atom: 0.000
Energy of formation from the pure elements in eV/atom: 0.76
Total DFT energy (no corrections) in eV per cell: -50.09
Magnetization in μB per formula unit: 0.35